# 1
Density functional theory data (PBE-GGA) for TlInO2 after structural relaxation.

```
data_TlInO2
_chemical_formula_sum 'Tl4 In4 O8'
_cell_length_a 5.966
_cell_length_b 5.966
_cell_length_c 8.933
_cell_angle_alpha 90.00
_cell_angle_beta 90.00
_cell_angle_gamma 90.00
_symmetry_space_group_name_H-M 'I -4 2 d'
_symmetry_Int_Tables_number 122
_symmetry_space_group_name_Hall 'I -4 2bw'
loop_
_atom_site_label
_atom_site_type_symbol
_atom_site_fract_x
_atom_site_fract_y
_atom_site_fract_z
Tl1 Tl 0.000 0.000 0.000
In1 In 0.000 0.000 0.500
O1 O 0.159 0.250 0.625
```

Its energy relative to the elements, uncorrected is -1.090 eV/atom. For the spin magnetization, the calculation gives 0.00 μB/f.u.



# 2
Density functional theory data (PBE-GGA) for Tl3In2O6 after structural relaxation.

```
data_Tl3In2O6
_chemical_formula_sum 'Tl9 In6 O18'
_cell_length_a 3.4385
_cell_length_b 3.4385
_cell_length_c 53.3592
_cell_angle_alpha 90.00
_cell_angle_beta 90.00
_cell_angle_gamma 120.00
_symmetry_space_group_name_H-M 'R -3 m'
_symmetry_Int_Tables_number 166
_symmetry_space_group_name_Hall '-R 3 2"'
loop_
_atom_site_label
_atom_site_type_symbol
_atom_site_fract_x
_atom_site_fract_y
_atom_site_fract_z
Tl1 Tl 0.0000 0.0000 0.0000
Tl2 Tl 0.0000 0.0000 0.2662
In1 In 0.0000 0.0000 0.4571
O1 O 0.0000 0.0000 0.0958
O2 O 0.0000 0.0000 0.1958
O3 O 0.0000 0.0000 0.3808
```

Its energy relative to the elements, uncorrected is -0.907 eV/atom. For the spin magnetization, the calculation gives 0.00 μB/f.u.



# 3
Density functional theory data (PBE-GGA) for TlIn2O2 after structural relaxation.

```
data_TlIn2O2
_chemical_formula_sum 'Tl2 In4 O4'
_cell_length_a 3.988
_cell_length_b 3.988
_cell_length_c 12.509
_cell_angle_alpha 90.00
_cell_angle_beta 90.00
_cell_angle_gamma 90.00
_symmetry_space_group_name_H-M 'I 4/m m m'
_symmetry_Int_Tables_number 139
_symmetry_space_group_name_Hall '-I 4 2'
loop_
_atom_site_label
_atom_site_type_symbol
_atom_site_fract_x
_atom_site_fract_y
_atom_site_fract_z
Tl1 Tl 0.000 0.000 0.000
In1 In 0.000 0.000 0.333
O1 O 0.000 0.500 0.250
```

Its energy relative to the elements, uncorrected is -0.849 eV/atom. For the spin magnetization, the calculation gives 0.00 μB/f.u.



# 4
Density functional theory data (PBE-GGA) for TlInO2 after structural relaxation.

```
data_TlInO2
_chemical_formula_sum 'Tl8 In8 O16'
_cell_length_a 7.902
_cell_length_b 15.071
_cell_length_c 5.840
_cell_angle_alpha 90.00
_cell_angle_beta 122.52
_cell_angle_gamma 90.00
_symmetry_space_group_name_H-M 'C 1 2/c 1'
_symmetry_Int_Tables_number 15
_symmetry_space_group_name_Hall '-C 2yc'
loop_
_atom_site_label
_atom_site_type_symbol
_atom_site_fract_x
_atom_site_fract_y
_atom_site_fract_z
Tl1 Tl 0.000 0.063 0.250
Tl2 Tl 0.000 0.194 0.750
In1 In 0.000 0.352 0.250
In2 In 0.000 0.437 0.750
O1 O 0.147 0.324 0.659
O2 O 0.174 0.452 0.201
```

Its energy relative to the elements, uncorrected is -1.061 eV/atom. For the spin magnetization, the calculation gives 0.00 μB/f.u.



# 5
Density functional theory data (PBE-GGA) for Tl2InO after structural relaxation.

```
data_Tl2InO
_chemical_formula_sum 'Tl8 In4 O4'
_cell_length_a 7.226
_cell_length_b 7.226
_cell_length_c 7.226
_cell_angle_alpha 90.00
_cell_angle_beta 90.00
_cell_angle_gamma 90.00
_symmetry_space_group_name_H-M 'F m -3 m'
_symmetry_Int_Tables_number 225
_symmetry_space_group_name_Hall '-F 4 2 3'
loop_
_atom_site_label
_atom_site_type_symbol
_atom_site_fract_x
_atom_site_fract_y
_atom_site_fract_z
Tl1 Tl 0.250 0.250 0.250
In1 In 0.000 0.000 0.000
O1 O 0.000 0.000 0.500
```

Its energy relative to the elements, uncorrected is 0.128 eV/atom. For the spin magnetization, the calculation gives 0.00 μB/f.u.



# 6
Density functional theory data (PBE-GGA) for TlInO2 after structural relaxation.

```
data_TlInO2
_chemical_formula_sum 'Tl4 In4 O8'
_cell_length_a 6.221
_cell_length_b 6.221
_cell_length_c 6.221
_cell_angle_alpha 90.00
_cell_angle_beta 90.00
_cell_angle_gamma 90.00
_symmetry_space_group_name_H-M 'F m -3 m'
_symmetry_Int_Tables_number 225
_symmetry_space_group_name_Hall '-F 4 2 3'
loop_
_atom_site_label
_atom_site_type_symbol
_atom_site_fract_x
_atom_site_fract_y
_atom_site_fract_z
Tl1 Tl 0.000 0.000 0.000
In1 In 0.000 0.000 0.500
O1 O 0.250 0.250 0.250
```

Its energy relative to the elements, uncorrected is -0.259 eV/atom. For the spin magnetization, the calculation gives 0.00 μB/f.u.



# 7
Density functional theory data (PBE-GGA) for Tl2In4O9 after structural relaxation.

```
data_Tl2In4O9
_chemical_formula_sum 'Tl4 In8 O18'
_cell_length_a 5.6721
_cell_length_b 5.6721
_cell_length_c 14.9144
_cell_angle_alpha 90.00
_cell_angle_beta 90.00
_cell_angle_gamma 120.00
_symmetry_space_group_name_H-M 'P -3 c 1'
_symmetry_Int_Tables_number 165
_symmetry_space_group_name_Hall '-P 3 2"c'
loop_
_atom_site_label
_atom_site_type_symbol
_atom_site_fract_x
_atom_site_fract_y
_atom_site_fract_z
Tl1 Tl 0.0000 0.0000 0.1395
In1 In 0.3333 0.6667 0.0235
In2 In 0.3333 0.6667 0.3091
O1 O 0.0000 0.3072 0.2500
O2 O 0.0374 0.3835 0.9174
```

Its energy relative to the elements, uncorrected is -1.245 eV/atom. For the spin magnetization, the calculation gives 0.00 μB/f.u.



# 8
Density functional theory data (PBE-GGA) for Tl3InO6 after structural relaxation.

```
data_Tl3InO6
_chemical_formula_sum 'Tl18 In6 O36'
_cell_length_a 9.5382
_cell_length_b 9.5382
_cell_length_c 11.5229
_cell_angle_alpha 90.00
_cell_angle_beta 90.00
_cell_angle_gamma 120.00
_symmetry_space_group_name_H-M 'R -3'
_symmetry_Int_Tables_number 148
_symmetry_space_group_name_Hall '-R 3'
loop_
_atom_site_label
_atom_site_type_symbol
_atom_site_fract_x
_atom_site_fract_y
_atom_site_fract_z
Tl1 Tl 0.0402 0.7750 0.2119
In1 In 0.0000 0.0000 0.0000
In2 In 0.0000 0.0000 0.5000
O1 O 0.0270 0.8405 0.8767
O2 O 0.0277 0.8152 0.4044
```

Its energy relative to the elements, uncorrected is -0.887 eV/atom. For the spin magnetization, the calculation gives 0.00 μB/f.u.



Which value of spin magnetization does entry 4 give? 0.00 μB/f.u.



Among the records above, which one has the lowest energy relative to the elements, uncorrected? Tl2In4O9



Copy entry 2 word for word.
Density functional theory data (PBE-GGA) for Tl3In2O6 after structural relaxation.

```
data_Tl3In2O6
_chemical_formula_sum 'Tl9 In6 O18'
_cell_length_a 3.4385
_cell_length_b 3.4385
_cell_length_c 53.3592
_cell_angle_alpha 90.00
_cell_angle_beta 90.00
_cell_angle_gamma 120.00
_symmetry_space_group_name_H-M 'R -3 m'
_symmetry_Int_Tables_number 166
_symmetry_space_group_name_Hall '-R 3 2"'
loop_
_atom_site_label
_atom_site_type_symbol
_atom_site_fract_x
_atom_site_fract_y
_atom_site_fract_z
Tl1 Tl 0.0000 0.0000 0.0000
Tl2 Tl 0.0000 0.0000 0.2662
In1 In 0.0000 0.0000 0.4571
O1 O 0.0000 0.0000 0.0958
O2 O 0.0000 0.0000 0.1958
O3 O 0.0000 0.0000 0.3808
```

Its energy relative to the elements, uncorrected is -0.907 eV/atom. For the spin magnetization, the calculation gives 0.00 μB/f.u.